## Ti8SbPd2 (PBE)

Data for a geometry-optimized Ti8SbPd2 structure.

Summary:
Total energy = -7.235 eV/atom
Density = 6.106 g cm⁻³
Space group = No. 12

Cell: 7.3555 7.3555 4.5218 Å, 100.47 100.47 120.91°
Last column: nearest neighbours and their distance in Å.
Fractional coordinates of all 11 atoms:
Ti 0.0978 0.3115 0.6186  2 Pd 2.65-2.88, 3 Ti 2.73-2.85
Ti 0.2191 0.7809 0.0000  2 Pd 2.51, 1 Sb 2.80
Ti 0.3115 0.0978 0.6186  2 Pd 2.65-2.88, 3 Ti 2.73-2.85
Ti 0.4054 0.4054 0.2037  2 Ti 2.52-2.67, 1 Sb 2.74, 2 Pd 2.81
Ti 0.5946 0.5946 0.7963  2 Ti 2.52-2.67, 1 Sb 2.74, 2 Pd 2.81
Ti 0.6885 0.9022 0.3814  2 Pd 2.65-2.88, 3 Ti 2.73-2.85
Ti 0.7809 0.2191 0.0000  2 Pd 2.51, 1 Sb 2.80
Ti 0.9022 0.6885 0.3814  2 Pd 2.65-2.88, 3 Ti 2.73-2.85
Sb 0.0000 0.0000 0.0000  12 Ti 2.74-2.99
Pd 0.3041 0.6959 0.5000  6 Ti 2.51-2.81
Pd 0.6959 0.3041 0.5000  6 Ti 2.51-2.81

## TbPm2Dy4Er2 (PBE)

Data for a geometry-optimized TbPm2Dy4Er2 structure.

Summary:
Total energy = -4.546 eV/atom
Energy of formation from the pure elements = 84 meV per atom
Density = 8.221 g cm⁻³
Space group = No. 2

Cell: 5.9954 6.6122 8.5593 Å, 79.95 70.46 64.98°
Last column: nearest neighbours and their distance in Å.
Fractional coordinates of all 9 atoms:
Tb 0.0000 0.0000 0.0000  4 Dy 3.32-3.56, 2 Pm 3.45
Pm 0.2701 0.6741 0.6578  5 Dy 3.39-3.72, 1 Tb 3.45, 4 Er 3.46-3.53, 1 Pm 3.47
Pm 0.7299 0.3259 0.3422  5 Dy 3.39-3.72, 1 Tb 3.45, 4 Er 3.46-3.53, 1 Pm 3.47
Dy 0.2611 0.4221 0.1146  4 Dy 3.34-3.73, 2 Pm 3.39-3.72, 2 Er 3.52-3.70, 1 Tb 3.56
Dy 0.3798 0.8724 0.2401  1 Tb 3.32, 3 Er 3.42-3.51, 2 Dy 3.43-3.44, 3 Pm 3.46-3.70
Dy 0.6202 0.1276 0.7599  1 Tb 3.32, 3 Er 3.42-3.51, 2 Dy 3.43-3.44, 3 Pm 3.46-3.70
Dy 0.7389 0.5779 0.8854  4 Dy 3.34-3.73, 2 Pm 3.39-3.72, 2 Er 3.52-3.70, 1 Tb 3.56
Er 0.1791 0.2300 0.5557  5 Dy 3.42-3.70, 2 Er 3.46-3.69, 4 Pm 3.46-3.53, 1 Tb 3.82
Er 0.8209 0.7700 0.4443  5 Dy 3.42-3.70, 2 Er 3.46-3.69, 4 Pm 3.46-3.53, 1 Tb 3.82

## ZnB2Cl2 (PBE)

Data for a geometry-optimized ZnB2Cl2 structure.

Summary:
Total energy = -2.825 eV/atom
Offset from the most stable computed form = 0.1262 eV/atom
Density = 3.307 g cm⁻³
Space group = No. 127

Cell: 6.1218 6.1218 4.2328 Å, 90.00 90.00 90.00°
Last column: nearest neighbours and their distance in Å.
Fractional coordinates of all 10 atoms:
Zn 0.0000 0.0000 0.0000  4 B 2.18
Zn 0.5000 0.5000 0.0000  4 B 2.18
B 0.2237 0.2763 0.0000  2 Cl 2.14, 2 Zn 2.18
B 0.2763 0.7763 0.0000  2 Cl 2.14, 2 Zn 2.18
B 0.7237 0.2237 0.0000  2 Cl 2.14, 2 Zn 2.18
B 0.7763 0.7237 0.0000  2 Cl 2.14, 2 Zn 2.18
Cl 0.1903 0.3097 0.5000  2 B 2.14
Cl 0.3097 0.8097 0.5000  2 B 2.14
Cl 0.6903 0.1903 0.5000  2 B 2.14
Cl 0.8097 0.6903 0.5000  2 B 2.14

## ThGa6Ni12 (PBE)

Data for a geometry-optimized ThGa6Ni12 structure.

Summary:
Total energy = -5.245 eV/atom
Energy of formation from the pure elements = -247 meV per atom
Density = 8.597 g cm⁻³
Space group = No. 166

Cell: 6.6926 6.6926 6.6926 Å, 105.07 105.07 105.07°
Last column: nearest neighbours and their distance in Å.
Fractional coordinates of all 19 atoms:
Th 0.0000 0.0000 0.0000  6 Ni 2.86
Ga 0.2762 0.2762 0.7052  7 Ni 2.33-2.50
Ga 0.2762 0.7052 0.2762  7 Ni 2.33-2.50
Ga 0.2948 0.7238 0.7238  7 Ni 2.33-2.50
Ga 0.7052 0.2762 0.2762  7 Ni 2.33-2.50
Ga 0.7238 0.2948 0.7238  7 Ni 2.33-2.50
Ga 0.7238 0.7238 0.2948  7 Ni 2.33-2.50
Ni 0.1146 0.5000 0.8854  4 Ga 2.33-2.41, 3 Ni 2.43-2.54
Ni 0.1146 0.8854 0.5000  4 Ga 2.33-2.41, 3 Ni 2.43-2.54
Ni 0.1345 0.3844 0.3844  4 Ga 2.48-2.62, 4 Ni 2.54-2.65
Ni 0.3844 0.1345 0.3844  4 Ga 2.48-2.62, 4 Ni 2.54-2.65
Ni 0.3844 0.3844 0.1345  4 Ga 2.48-2.62, 4 Ni 2.54-2.65
Ni 0.5000 0.1146 0.8854  4 Ga 2.33-2.41, 3 Ni 2.43-2.54
Ni 0.5000 0.8854 0.1146  4 Ga 2.33-2.41, 3 Ni 2.43-2.54
Ni 0.6156 0.6156 0.8655  4 Ga 2.48-2.62, 4 Ni 2.54-2.65
Ni 0.6156 0.8655 0.6156  4 Ga 2.48-2.62, 4 Ni 2.54-2.65
Ni 0.8655 0.6156 0.6156  4 Ga 2.48-2.62, 4 Ni 2.54-2.65
Ni 0.8854 0.1146 0.5000  4 Ga 2.33-2.41, 3 Ni 2.43-2.54
Ni 0.8854 0.5000 0.1146  4 Ga 2.33-2.41, 3 Ni 2.43-2.54

Question: Which of these has the lowest density?
Answer: ZnB2Cl2